A plane-wave DFT calculation with GGA+U was carried out for an optimized crystal structure of LiCo2O4.

```
LiCo2O4
1.0
2.451 -1.415 0.000
2.451 1.415 0.000
-1.655 0.000 9.596
Li Co O
1 2 4
direct
0.000 0.000 0.000
0.418 0.418 0.249
0.582 0.582 0.751
0.116 0.116 0.342
0.287 0.287 0.862
0.713 0.713 0.138
0.884 0.884 0.658
```

## Properties
- density (kg/m3) = 4710
- volume (Å³/f.u.) = 66.6
- VASP energy (eV/atom) = -5.6550
- SG = No. 12
- crystal system = monoclinic
- ΔE to the lowest computed polymorph (eV/atom) = 0.066